Entry one
PbN2Cl2 | GGA-PBE | relaxed

Structure (POSCAR):
```
PbN2Cl2
1.0
3.822 -2.201 0.000
3.822 2.201 0.000
-0.992 0.000 9.690
Pb N Cl
1 2 2
direct
0.000 0.000 0.000
0.031 0.031 0.451
0.969 0.969 0.549
0.353 0.353 0.152
0.647 0.647 0.848
```

Summary:
SG: No. 12

Entry two
PbN2Cl2 | GGA-PBE | relaxed

Structure (POSCAR):
```
PbN2Cl2
1.0
-1.664 1.664 9.871
1.664 -1.664 9.871
1.664 1.664 -9.871
Pb N Cl
1 2 2
direct
0.000 0.000 0.000
0.250 0.750 0.500
0.750 0.250 0.500
0.409 0.409 0.000
0.591 0.591 0.000
```

Summary:
SG: No. 139

Entry three
PbN2Cl2 | GGA-PBE | relaxed

Structure (POSCAR):
```
PbN2Cl2
1.0
7.613 0.000 0.000
0.000 7.613 0.000
0.000 0.000 3.499
Pb N Cl
2 4 4
direct
0.000 0.000 0.000
0.500 0.500 0.000
0.227 0.273 0.500
0.273 0.773 0.500
0.727 0.227 0.500
0.773 0.727 0.500
0.151 0.349 0.000
0.349 0.849 0.000
0.651 0.151 0.000
0.849 0.651 0.000
```

Summary:
SG: No. 127

So which one is most stable? That would be entry one, about 2.090 eV/atom below the next structure.

Entry one
PbNCl3 | GGA-PBE | relaxed

Structure (POSCAR):
```
PbNCl3
1.0
4.624 0.000 0.000
0.000 4.624 0.000
0.000 0.000 4.624
Pb N Cl
1 1 3
direct
0.000 0.000 0.000
0.500 0.500 0.500
0.000 0.500 0.500
0.500 0.000 0.500
0.500 0.500 0.000
```

Summary:
SG: No. 221

Entry two
PbNCl3 | GGA-PBE | relaxed

Structure (POSCAR):
```
PbNCl3
1.0
5.154 -8.289 0.000
5.154 8.289 0.000
-1.064 0.000 8.060
Pb N Cl
4 4 12
direct
0.152 0.239 0.129
0.239 0.152 0.629
0.761 0.848 0.371
0.848 0.761 0.871
0.271 0.729 0.750
0.319 0.681 0.250
0.681 0.319 0.750
0.729 0.271 0.250
0.002 0.822 0.534
0.123 0.602 0.224
0.178 0.998 0.966
0.270 0.394 0.855
0.394 0.270 0.355
0.398 0.877 0.276
0.602 0.123 0.724
0.606 0.730 0.645
0.730 0.606 0.145
0.822 0.002 0.034
0.877 0.398 0.776
0.998 0.178 0.466
```

Summary:
SG: No. 15

Entry three
PbNCl3 | GGA-PBE | relaxed

Structure (POSCAR):
```
PbNCl3
1.0
5.391 0.000 0.000
0.000 5.391 0.000
0.000 0.000 5.391
Pb N Cl
1 1 3
direct
0.000 0.000 0.000
0.500 0.500 0.500
0.000 0.000 0.500
0.000 0.500 0.000
0.500 0.000 0.000
```

Summary:
SG: No. 221

Entry four
PbNCl3 | GGA-PBE | relaxed

Structure (POSCAR):
```
PbNCl3
1.0
4.421 0.000 0.000
0.021 7.796 0.000
0.909 2.286 9.965
Pb N Cl
2 2 6
direct
0.243 0.232 0.030
0.757 0.768 0.970
0.114 0.011 0.460
0.886 0.989 0.540
0.138 0.237 0.373
0.226 0.585 0.125
0.282 0.009 0.848
0.718 0.991 0.152
0.774 0.415 0.875
0.862 0.763 0.627
```

Summary:
SG: No. 2

So which one is most stable? That would be entry four, about 0.555 eV/atom below the next structure.

Entry one
PbSN2Cl | GGA-PBE | relaxed

Structure (POSCAR):
```
PbSN2Cl
1.0
4.576 0.000 0.000
0.000 4.576 0.000
0.000 0.000 5.401
Pb S N Cl
1 1 2 1
direct
0.000 0.000 0.000
0.000 0.000 0.500
0.000 0.500 0.000
0.500 0.000 0.000
0.500 0.500 0.500
```

Summary:
SG: No. 123

Entry two
PbSN2Cl | GGA-PBE | relaxed

Structure (POSCAR):
```
PbSN2Cl
1.0
4.208 0.000 0.000
0.000 4.208 0.000
0.000 0.000 4.883
Pb S N Cl
1 1 2 1
direct
0.000 0.000 0.000
0.500 0.500 0.000
0.000 0.500 0.500
0.500 0.000 0.500
0.500 0.500 0.500
```

Summary:
SG: No. 123

So which one is most stable? That would be entry one, about 0.036 eV/atom below the next structure.

Entry one
PbSNCl2 | GGA-PBE | relaxed

Structure (POSCAR):
```
PbSNCl2
1.0
4.427 0.000 0.000
0.000 4.427 0.000
0.000 0.000 4.781
Pb S N Cl
1 1 1 2
direct
0.000 0.000 0.000
0.500 0.500 0.000
0.500 0.500 0.500
0.000 0.500 0.500
0.500 0.000 0.500
```

Summary:
SG: No. 123

Entry two
PbSNCl2 | GGA-PBE | relaxed

Structure (POSCAR):
```
PbSNCl2
1.0
5.683 0.000 0.000
0.000 5.683 0.000
0.000 0.000 6.679
Pb S N Cl
1 1 1 2
direct
0.000 0.000 0.000
0.000 0.000 0.500
0.500 0.500 0.500
0.000 0.500 0.000
0.500 0.000 0.000
```

Summary:
SG: No. 123

So which one is most stable? That would be entry one, about 0.461 eV/atom below the next structure.

Entry one
TePbN2Cl | GGA-PBE | relaxed

Structure (POSCAR):
```
TePbN2Cl
1.0
4.390 0.000 0.000
0.000 4.390 0.000
0.000 0.000 6.525
Te Pb N Cl
1 1 2 1
direct
0.000 0.000 0.000
0.000 0.000 0.500
0.000 0.500 0.500
0.500 0.000 0.500
0.500 0.500 0.000
```

Summary:
SG: No. 123

Entry two
TePbN2Cl | GGA-PBE | relaxed

Structure (POSCAR):
```
TePbN2Cl
1.0
4.415 0.000 0.000
0.000 4.415 0.000
0.000 0.000 5.436
Te Pb N Cl
1 1 2 1
direct
0.000 0.000 0.000
0.500 0.500 0.000
0.000 0.500 0.500
0.500 0.000 0.500
0.000 0.000 0.500
```

Summary:
SG: No. 123

So which one is most stable? That would be entry one, about 0.351 eV/atom below the next structure.

Entry one
Te2PbNCl | GGA-PBE | relaxed

Structure (POSCAR):
```
Te2PbNCl
1.0
6.129 0.000 0.000
0.000 6.129 0.000
0.000 0.000 4.392
Te Pb N Cl
2 1 1 1
direct
0.000 0.500 0.000
0.500 0.000 0.000
0.000 0.000 0.000
0.000 0.000 0.500
0.500 0.500 0.500
```

Summary:
SG: No. 123

Entry two
Te2PbNCl | GGA-PBE | relaxed

Structure (POSCAR):
```
Te2PbNCl
1.0
6.569 0.000 0.000
0.000 6.569 0.000
0.000 0.000 3.369
Te Pb N Cl
2 1 1 1
direct
0.000 0.500 0.000
0.500 0.000 0.000
0.000 0.000 0.500
0.500 0.500 0.500
0.500 0.500 0.000
```

Summary:
SG: No. 123

So which one is most stable? That would be entry two, about 0.085 eV/atom below the next structure.

Entry one
PdN2Cl | GGA-PBE | relaxed

Structure (POSCAR):
```
PdN2Cl
1.0
0.000 2.824 2.824
2.824 0.000 2.824
2.824 2.824 0.000
Pd N Cl
1 2 1
direct
0.000 0.000 0.000
0.250 0.250 0.250
0.750 0.750 0.750
0.500 0.500 0.500
```

Summary:
SG: No. 225

Entry two
PdN2Cl | GGA-PBE | relaxed

Structure (POSCAR):
```
PdN2Cl
1.0
1.627 0.940 5.706
-1.627 0.940 5.706
0.000 -1.879 5.706
Pd N Cl
1 2 1
direct
0.000 0.000 0.000
0.389 0.389 0.389
0.611 0.611 0.611
0.500 0.500 0.500
```

Summary:
SG: No. 166

Entry three
PdN2Cl | GGA-PBE | relaxed

Structure (POSCAR):
```
PdN2Cl
1.0
-2.762 2.762 4.130
2.762 -2.762 4.130
2.762 2.762 -4.130
Pd N Cl
2 4 2
direct
0.000 0.000 0.000
0.750 0.250 0.500
0.039 0.625 0.914
0.375 0.289 0.414
0.711 0.125 0.086
0.875 0.961 0.586
0.250 0.750 0.500
0.500 0.500 0.000
```

Summary:
SG: No. 122

So which one is most stable? That would be entry two, about 0.523 eV/atom below the next structure.

Entry one
PdN2Cl | GGA-PBE | relaxed

Structure (POSCAR):
```
PdN2Cl
1.0
1.544 0.891 6.244
-1.544 0.891 6.244
0.000 -1.783 6.244
Pd N Cl
1 2 1
direct
0.000 0.000 0.000
0.103 0.103 0.103
0.897 0.897 0.897
0.500 0.500 0.500
```

Summary:
SG: No. 166

Entry two
PdN2Cl | GGA-PBE | relaxed

Structure (POSCAR):
```
PdN2Cl
1.0
3.770 0.000 0.000
0.037 3.941 0.000
1.067 0.371 6.666
Pd N Cl
1 2 1
direct
0.000 0.000 0.000
0.829 0.310 0.587
0.862 0.203 0.741
0.429 0.820 0.184
```

Summary:
SG: No. 1

So which one is most stable? That would be entry two, about 1.853 eV/atom below the next structure.